# 1
Computed, not measured: a geometry-optimized U3TaTl3Se8 structure at the PBE level of DFT.

The space group is R-3m (No. 166, hexagonal axes) and the conventional cell measures 7.9596, 7.9596 and 24.3930 Å, with angles of 90.00, 90.00 and 120.00 degrees. The inequivalent atoms are U at (0.0000, 0.5000, 0.0000), Ta at (0.0000, 0.0000, 0.0000), Tl at (0.0000, 0.5000, 0.5000), Se at (0.0000, 0.0000, 0.2626) and Se at (0.0227, 0.5113, 0.7328).

As for the total energy: -279.85 eV per cell.

=====

# 2
Computed, not measured: a geometry-optimized MgSCl2O structure at the PBE level of DFT.

The space group is P4/mmm (No. 123) and the conventional cell measures 4.533, 4.533 and 4.237 Å, with angles of 90.00, 90.00 and 90.00 degrees. The inequivalent atoms are Mg at (0.000, 0.000, 0.000), S at (0.500, 0.500, 0.000), Cl at (0.000, 0.500, 0.500) and O at (0.500, 0.500, 0.500).

The energy above the most stable polymorph in this dataset is 0 meV/atom.

=====

# 3
Computed, not measured: a geometry-optimized Fe2CoRh6 structure at the PBE level of DFT.

The space group is Fmmm (No. 69) and the conventional cell measures 3.820, 10.964 and 11.491 Å, with angles of 90.00, 90.00 and 90.00 degrees. The inequivalent atoms are Fe at (0.000, 0.000, 0.161), Co at (0.000, 0.000, 0.500), Rh at (0.000, 0.160, 0.333) and Rh at (0.000, 0.162, 0.000).

As for the total energy: -272.52 eV per cell.

=====

# 4
Computed, not measured: a geometry-optimized YSnPd3 structure at the PBE level of DFT.

The space group is I-4m2 (No. 119) and the conventional cell measures 5.209, 5.209 and 18.359 Å, with angles of 90.00, 90.00 and 90.00 degrees. The inequivalent atoms are Y at (0.000, 0.000, 0.106), Sn at (0.000, 0.000, 0.500), Sn at (0.000, 0.500, 0.750), Pd at (0.000, 0.248, 0.627) and Pd at (0.000, 0.500, 0.025).

The energy above the most stable polymorph in this dataset is 0 meV/atom.

=====

# 5
Computed, not measured: a geometry-optimized Hf6Tc5Pd structure at the PBE level of DFT.

The space group is C2/m (No. 12) and the conventional cell measures 14.613, 6.536 and 4.623 Å, with angles of 90.00, 108.38 and 90.00 degrees. The inequivalent atoms are Hf at (0.000, 0.243, 0.000), Hf at (0.169, 0.246, 0.669), Tc at (0.000, 0.000, 0.500), Tc at (0.165, 0.500, 0.165), Tc at (0.167, 0.000, 0.167) and Pd at (0.000, 0.500, 0.500).

As for the total energy: -247.10 eV per cell.

=====

# 6
Computed, not measured: a geometry-optimized ScUO5 structure at the PBE level of DFT.

The space group is P2_1/c (No. 14) and the conventional cell measures 5.448, 10.396 and 7.504 Å, with angles of 90.00, 107.89 and 90.00 degrees. The inequivalent atoms are Sc at (0.098, 0.246, 0.389), U at (0.463, 0.025, 0.748), O at (0.181, 0.592, 0.187), O at (0.195, 0.193, 0.662), O at (0.245, 0.638, 0.683), O at (0.344, 0.094, 0.992) and O at (0.357, 0.091, 0.409).

As for the total energy: -250.13 eV per cell.

=====

# 7
Computed, not measured: a geometry-optimized Ac2NiAs structure at the PBE level of DFT.

The space group is R-3m (No. 166, hexagonal axes) and the conventional cell measures 4.3674, 4.3674 and 22.2431 Å, with angles of 90.00, 90.00 and 120.00 degrees. The inequivalent atoms are Ac at (0.0000, 0.0000, 0.2464), Ni at (0.0000, 0.0000, 0.5000) and As at (0.0000, 0.0000, 0.0000).

The energy above the most stable polymorph in this dataset is 0 meV/atom.

=====

# 8
Computed, not measured: a geometry-optimized LiTa2Ir structure at the PBE level of DFT.

The space group is R-3m (No. 166, hexagonal axes) and the conventional cell measures 2.8533, 2.8533 and 29.1707 Å, with angles of 90.00, 90.00 and 120.00 degrees. The inequivalent atoms are Li at (0.0000, 0.0000, 0.0000), Ta at (0.0000, 0.0000, 0.2442) and Ir at (0.0000, 0.0000, 0.5000).

As for the total energy: -102.62 eV per cell.

=====

# 9
Computed, not measured: a geometry-optimized LiTiGa structure at the PBE level of DFT.

The space group is Amm2 (No. 38) and the conventional cell measures 4.649, 2.933 and 14.074 Å, with angles of 90.00, 90.00 and 90.00 degrees. The inequivalent atoms are Li at (0.000, 0.000, 0.000), Li at (0.000, 0.000, 0.333), Ti at (0.500, 0.000, 0.131), Ti at (0.500, 0.000, 0.793), Ga at (0.000, 0.000, 0.678) and Ga at (0.500, 0.000, 0.458).

The energy above the most stable polymorph in this dataset is 34 meV/atom.

=====

# 10
Computed, not measured: a geometry-optimized Mn3Nb3N structure at the PBE level of DFT.

The space group is Fd-3m (No. 227, origin choice 2) and the conventional cell measures 11.408, 11.408 and 11.408 Å, with angles of 90.00, 90.00 and 90.00 degrees. The inequivalent atoms are Mn at (0.000, 0.000, 0.000), Mn at (0.048, 0.048, 0.202), Nb at (0.071, 0.375, 0.875) and N at (0.000, 0.000, 0.500).

As for the total energy: -1109.02 eV per cell.

=====

# 11
Computed, not measured: a geometry-optimized Hf3Zn8Cu3 structure at the PBE level of DFT.

The space group is Immm (No. 71) and the conventional cell measures 4.229, 9.093 and 11.310 Å, with angles of 90.00, 90.00 and 90.00 degrees. The inequivalent atoms are Hf at (0.000, 0.000, 0.000), Hf at (0.000, 0.000, 0.286), Zn at (0.000, 0.282, 0.139), Zn at (0.000, 0.365, 0.361), Cu at (0.000, 0.150, 0.500) and Cu at (0.000, 0.500, 0.000).

As for the total energy: -108.69 eV per cell.

=====

# 12
Computed, not measured: a geometry-optimized Y3TmSn3 structure at the PBE level of DFT.

The space group is P6_3/m (No. 176) and the conventional cell measures 9.3751, 9.3751 and 6.0812 Å, with angles of 90.00, 90.00 and 120.00 degrees. The inequivalent atoms are Y at (0.0212, 0.6989, 0.2500), Tm at (0.3333, 0.6667, 0.7500) and Sn at (0.0024, 0.6513, 0.7500).

As for the total energy: -77.53 eV per cell.

=====

no.,V (Å³ per atom)
1,29.742
2,17.414
3,13.368
4,24.910
5,17.460
6,14.446
7,30.618
8,17.139
9,15.993
10,13.254
11,15.532
12,33.063